(1)
Ti3SbH | PBEsol | optimized geometry

a b c (Å): 4.103 4.103 4.103
angles (deg): 90.00 90.00 90.00
Space group Pm-3m (No. 221)
Asymmetric unit:
Ti: 0.000 0.000 0.500
Sb: 0.500 0.500 0.500
H: 0.000 0.000 0.000

## Properties
total magnetization: 0.00 μB per formula unit
E_tot: -7.09 eV per atom

(2)
Ti2SbH | PBEsol | optimized geometry

a b c (Å): 5.112 5.112 9.422
angles (deg): 90.00 90.00 90.00
Space group I4_1/amd (No. 141, origin choice 2)
Asymmetric unit:
Ti: 0.000 0.000 0.000
Sb: 0.000 0.250 0.375
H: 0.000 0.250 0.875

## Properties
total magnetization: 0.00 μB per formula unit
E_tot: -6.29 eV per atom

(3)
SbH3W | PBEsol | optimized geometry

a b c (Å): 3.662 3.662 3.662
angles (deg): 90.00 90.00 90.00
Space group Pm-3m (No. 221)
Asymmetric unit:
Sb: 0.000 0.000 0.000
H: 0.000 0.500 0.500
W: 0.500 0.500 0.500

## Properties
total magnetization: 0.00 μB per formula unit
E_tot: -5.09 eV per atom